Computed, not measured: crystalline CaSc3H at its relaxed geometry at the PBE level of DFT.

abc: 4.7396 4.7396 4.7396
angles: 90.00 90.00 90.00
Last column: nearest neighbours and their distance in Å.
Fractional positions:
1 Sc 0.5000 0.0000 0.0000  2 H 2.37
2 Sc 0.0000 0.0000 0.5000  2 H 2.37
3 Sc 0.0000 0.5000 0.0000  2 H 2.37
4 Ca 0.5000 0.5000 0.5000  12 Sc 3.35
5 H 0.0000 0.0000 0.0000  6 Sc 2.37

Values from the calculation:
Relative energy among the computed polymorphs in eV per atom: 0.0000
Fermi-level density of states in states/eV/atom: 1.552
Magnetic moment in μB per atom: 0.259
Space-group type: No. 221
Total energy in Ha/atom: -0.178